Crystalline Tb2YGaC at its relaxed geometry. Source: Alexandria, functional PBE.

POSCAR file:
```
Tb2YGaC
1.0
-3.8406 0.1814 -2.9829
2.7653 -1.6953 -3.6636
-1.1758 -4.5865 1.2349
Tb Y Ga C
2 1 1 1
direct
0.0000 0.0000 0.5000
0.0000 0.5000 0.0000
0.5000 0.0000 0.0000
0.5000 0.5000 0.5000
0.0000 0.0000 0.0000
```

Summary:
- DFT formation energy: -442 meV/atom
- Uncorrected energy: -30.2 eV/cell
- DOS(E_F): 2.07 states/eV/cell
- Magnetization: 0.000 μB per formula unit